U2Al9Rh3 | PBE | optimized geometry

Unit cell a=7.582 b=7.582 c=9.407 alpha=90.00 beta=90.00 gamma=60.82
Fractional positions:
U  0.004  0.674  0.750
U  0.326  0.996  0.750
U  0.674  0.004  0.250
U  0.996  0.326  0.250
Al  0.002  0.663  0.076
Al  0.002  0.663  0.424
Al  0.131  0.869  0.250
Al  0.334  0.666  0.553
Al  0.334  0.666  0.947
Al  0.337  0.998  0.076
Al  0.337  0.998  0.424
Al  0.342  0.449  0.250
Al  0.449  0.342  0.750
Al  0.551  0.658  0.250
Al  0.658  0.551  0.750
Al  0.663  0.002  0.576
Al  0.663  0.002  0.924
Al  0.666  0.334  0.053
Al  0.666  0.334  0.447
Al  0.869  0.131  0.750
Al  0.998  0.337  0.576
Al  0.998  0.337  0.924
Rh  0.000  0.000  0.000
Rh  0.000  0.000  0.500
Rh  0.328  0.328  0.000
Rh  0.328  0.328  0.500
Rh  0.672  0.672  0.000
Rh  0.672  0.672  0.500

Energy of formation from the pure elements, eV per atom: -0.58
Energy, eV/cell: -172.9
Space group: Cmcm